DyHoTe2 | PBE-GGA | optimized geometry

For the energy above the most stable polymorph in this dataset, the calculation gives 0.187 eV per atom. The value obtained for the total moment is 0.55 Bohr magnetons per cell.

a b c (Å): 7.648 7.648 4.049
angles (deg): 90.00 90.00 90.00
Positions (direct):
Dy1 0.000 0.500 0.181
Dy2 0.500 0.000 0.819
Ho1 0.000 0.000 0.000
Ho2 0.500 0.500 0.000
Te1 0.216 0.284 0.675
Te2 0.284 0.784 0.325
Te3 0.716 0.216 0.325
Te4 0.784 0.716 0.675